Record 1
Compound: KNp3Tl2Se8
Source: Alexandria
Functional: PBE
Structure: optimized geometry

Properties
Volume (Å³/f.u.): 490.5
Raw formation energy (eV/f.u.): -12.9
Magnetic moment (μB/f.u.): 8.00
DOS(E_F) (states/eV/atom): 1.789
Calculated density (g cm⁻³): 6.06

CIF file:
```
data_KNp3Tl2Se8
_chemical_formula_sum 'K3 Np9 Tl6 Se24'
_symmetry_space_group_name_H-M 'R 3 m'
_symmetry_Int_Tables_number 160
_symmetry_space_group_name_Hall 'R 3 -2"'
_cell_length_a 8.4539
_cell_length_b 8.4539
_cell_length_c 23.7766
_cell_angle_alpha 90.00
_cell_angle_beta 90.00
_cell_angle_gamma 120.00
loop_
_atom_site_label
_atom_site_type_symbol
_atom_site_fract_x
_atom_site_fract_y
_atom_site_fract_z
K1 K 0.0000 0.0000 0.0000
Np1 Np 0.0001 0.5000 0.8640
Tl1 Tl 0.0000 0.0000 0.3602
Tl2 Tl 0.0000 0.0000 0.7366
Se1 Se 0.0000 0.0000 0.1346
Se2 Se 0.0000 0.0000 0.5933
Se3 Se 0.0303 0.5151 0.1334
Se4 Se 0.1817 0.3633 0.9266
```


Record 2
Compound: K2Np3TlSe8
Source: Alexandria
Functional: PBE
Structure: optimized geometry

Properties
Volume (Å³/f.u.): 496.2
Raw formation energy (eV/f.u.): -14.2
Magnetic moment (μB/f.u.): 8.00
DOS(E_F) (states/eV/atom): 1.756
Calculated density (g cm⁻³): 5.44

CIF file:
```
data_K2Np3TlSe8
_chemical_formula_sum 'K6 Np9 Tl3 Se24'
_symmetry_space_group_name_H-M 'R 3 m'
_symmetry_Int_Tables_number 160
_symmetry_space_group_name_Hall 'R 3 -2"'
_cell_length_a 8.4669
_cell_length_b 8.4669
_cell_length_c 23.9756
_cell_angle_alpha 90.00
_cell_angle_beta 90.00
_cell_angle_gamma 120.00
loop_
_atom_site_label
_atom_site_type_symbol
_atom_site_fract_x
_atom_site_fract_y
_atom_site_fract_z
K1 K 0.0000 0.0000 0.0000
K2 K 0.0000 0.0000 0.3645
Np1 Np 0.1669 0.3339 0.8326
Tl1 Tl 0.0000 0.0000 0.6252
Se1 Se 0.0000 0.0000 0.2289
Se2 Se 0.0000 0.0000 0.7705
Se3 Se 0.0298 0.5149 0.7711
Se4 Se 0.1806 0.3611 0.5618
```


Record 3
Compound: KNp2Tl3Se6
Source: Alexandria
Functional: PBE
Structure: optimized geometry

Properties
Volume (Å³/f.u.): 375.0
Raw formation energy (eV/f.u.): -10.5
Magnetic moment (μB/f.u.): 6.00
DOS(E_F) (states/eV/atom): 1.280
Calculated density (g cm⁻³): 7.09

CIF file:
```
data_KNp2Tl3Se6
_chemical_formula_sum 'K2 Np4 Tl6 Se12'
_symmetry_space_group_name_H-M 'C 1 2/m 1'
_symmetry_Int_Tables_number 12
_cell_length_a 19.831
_cell_length_b 4.255
_cell_length_c 9.211
_cell_angle_alpha 90.00
_cell_angle_beta 105.21
_cell_angle_gamma 90.00
loop_
_symmetry_equiv_pos_as_xyz
'x,y,z'
'-x,-y,-z'
'-x,y,-z'
'x,-y,z'
'x+1/2,y+1/2,z'
'-x+1/2,-y+1/2,-z'
'-x+1/2,y+1/2,-z'
'x+1/2,-y+1/2,z'
loop_
_atom_site_label
_atom_site_type_symbol
_atom_site_fract_x
_atom_site_fract_y
_atom_site_fract_z
K1 K 0.000 0.000 0.000
Np1 Np 0.172 0.500 0.335
Tl1 Tl 0.000 0.000 0.500
Tl2 Tl 0.160 0.500 0.830
Se1 Se 0.033 0.500 0.272
Se2 Se 0.178 0.000 0.130
Se3 Se 0.178 0.000 0.552
```


Record 4
Compound: K3TmNp2Se6
Source: Alexandria
Functional: PBE
Structure: optimized geometry

Properties
Volume (Å³/f.u.): 358.2
Raw formation energy (eV/f.u.): -16.9
Magnetic moment (μB/f.u.): 8.00
DOS(E_F) (states/eV/atom): 1.720
Calculated density (g cm⁻³): 5.72

CIF file:
```
data_K3TmNp2Se6
_chemical_formula_sum 'K6 Tm2 Np4 Se12'
_symmetry_space_group_name_H-M 'C 1 2/m 1'
_symmetry_Int_Tables_number 12
_cell_length_a 7.341
_cell_length_b 12.716
_cell_length_c 8.055
_cell_angle_alpha 90.00
_cell_angle_beta 107.69
_cell_angle_gamma 90.00
loop_
_symmetry_equiv_pos_as_xyz
'x,y,z'
'-x,-y,-z'
'-x,y,-z'
'x,-y,z'
'x+1/2,y+1/2,z'
'-x+1/2,-y+1/2,-z'
'-x+1/2,y+1/2,-z'
'x+1/2,-y+1/2,z'
loop_
_atom_site_label
_atom_site_type_symbol
_atom_site_fract_x
_atom_site_fract_y
_atom_site_fract_z
K1 K 0.000 0.000 0.000
K2 K 0.000 0.333 0.000
Tm1 Tm 0.000 0.500 0.500
Np1 Np 0.000 0.167 0.500
Se1 Se 0.232 0.336 0.705
Se2 Se 0.241 0.000 0.705
```


Record 5
Compound: K3TmNp3Se8
Source: Alexandria
Functional: PBE
Structure: optimized geometry

Properties
Volume (Å³/f.u.): 478.2
Raw formation energy (eV/f.u.): -20.3
Magnetic moment (μB/f.u.): 3.77
DOS(E_F) (states/eV/atom): 1.433
Calculated density (g cm⁻³): 5.66

CIF file:
```
data_K3TmNp3Se8
_chemical_formula_sum 'K6 Tm2 Np6 Se16'
_symmetry_space_group_name_H-M 'C 1 2/m 1'
_symmetry_Int_Tables_number 12
_cell_length_a 14.618
_cell_length_b 8.419
_cell_length_c 9.166
_cell_angle_alpha 90.00
_cell_angle_beta 122.02
_cell_angle_gamma 90.00
loop_
_symmetry_equiv_pos_as_xyz
'x,y,z'
'-x,-y,-z'
'-x,y,-z'
'x,-y,z'
'x+1/2,y+1/2,z'
'-x+1/2,-y+1/2,-z'
'-x+1/2,y+1/2,-z'
'x+1/2,-y+1/2,z'
loop_
_atom_site_label
_atom_site_type_symbol
_atom_site_fract_x
_atom_site_fract_y
_atom_site_fract_z
K1 K 0.000 0.000 0.000
K2 K 0.250 0.250 0.000
Tm1 Tm 0.000 0.000 0.500
Np1 Np 0.000 0.500 0.500
Np2 Np 0.250 0.250 0.500
Se1 Se 0.015 0.247 0.300
Se2 Se 0.231 0.000 0.698
Se3 Se 0.235 0.500 0.706
```


Record 6
Compound: K3Tm3NpSe8
Source: Alexandria
Functional: PBE
Structure: optimized geometry

Properties
Volume (Å³/f.u.): 462.6
Raw formation energy (eV/f.u.): -24.3
Magnetic moment (μB/f.u.): 3.00
DOS(E_F) (states/eV/atom): 0.199
Calculated density (g cm⁻³): 5.36

CIF file:
```
data_K3Tm3NpSe8
_chemical_formula_sum 'K9 Tm9 Np3 Se24'
_symmetry_space_group_name_H-M 'R -3 m'
_symmetry_Int_Tables_number 166
_symmetry_space_group_name_Hall '-R 3 2"'
_cell_length_a 8.2778
_cell_length_b 8.2778
_cell_length_c 23.3868
_cell_angle_alpha 90.00
_cell_angle_beta 90.00
_cell_angle_gamma 120.00
loop_
_atom_site_label
_atom_site_type_symbol
_atom_site_fract_x
_atom_site_fract_y
_atom_site_fract_z
K1 K 0.0000 0.5000 0.0000
Tm1 Tm 0.0000 0.5000 0.5000
Np1 Np 0.0000 0.0000 0.5000
Se1 Se 0.0000 0.0000 0.2338
Se2 Se 0.9998 0.4999 0.2332
```


Record 7
Compound: K2TmNpSe4
Source: Alexandria
Functional: PBE
Structure: optimized geometry

Properties
Volume (Å³/f.u.): 237.3
Raw formation energy (eV/f.u.): -11.9
Magnetic moment (μB/f.u.): 4.00
DOS(E_F) (states/eV/atom): 0.950
Calculated density (g cm⁻³): 5.60

CIF file:
```
data_K2TmNpSe4
_chemical_formula_sum 'K2 Tm1 Np1 Se4'
_symmetry_space_group_name_H-M 'P 1 2/m 1'
_symmetry_Int_Tables_number 10
_cell_length_a 7.336
_cell_length_b 4.220
_cell_length_c 8.043
_cell_angle_alpha 90.00
_cell_angle_beta 107.69
_cell_angle_gamma 90.00
loop_
_symmetry_equiv_pos_as_xyz
'x,y,z'
'-x,-y,-z'
'-x,y,-z'
'x,-y,z'
loop_
_atom_site_label
_atom_site_type_symbol
_atom_site_fract_x
_atom_site_fract_y
_atom_site_fract_z
K1 K 0.000 0.000 0.000
K2 K 0.500 0.500 0.000
Tm1 Tm 0.000 0.500 0.500
Np1 Np 0.500 0.000 0.500
Se1 Se 0.228 0.000 0.704
Se2 Se 0.259 0.500 0.295
```


Record 8
Compound: K4Tm3NpSe8
Source: Alexandria
Functional: PBE
Structure: optimized geometry

Properties
Volume (Å³/f.u.): 468.5
Raw formation energy (eV/f.u.): -25.9
Magnetic moment (μB/f.u.): 4.00
DOS(E_F) (states/eV/atom): 0.553
Calculated density (g cm⁻³): 5.43

CIF file:
```
data_K4Tm3NpSe8
_chemical_formula_sum 'K12 Tm9 Np3 Se24'
_symmetry_space_group_name_H-M 'R -3 m'
_symmetry_Int_Tables_number 166
_symmetry_space_group_name_Hall '-R 3 2"'
_cell_length_a 8.3963
_cell_length_b 8.3963
_cell_length_c 23.0207
_cell_angle_alpha 90.00
_cell_angle_beta 90.00
_cell_angle_gamma 120.00
loop_
_atom_site_label
_atom_site_type_symbol
_atom_site_fract_x
_atom_site_fract_y
_atom_site_fract_z
K1 K 0.0000 0.0000 0.0000
K2 K 0.0000 0.5000 0.0000
Tm1 Tm 0.0000 0.5000 0.5000
Np1 Np 0.0000 0.0000 0.5000
Se1 Se 0.0000 0.0000 0.2342
Se2 Se 0.0067 0.5033 0.7653
```


Record 9
Compound: K2Tm2NpSe6
Source: Alexandria
Functional: PBE
Structure: optimized geometry

Properties
Volume (Å³/f.u.): 347.8
Raw formation energy (eV/f.u.): -17.3
Magnetic moment (μB/f.u.): 3.00
DOS(E_F) (states/eV/atom): 0.384
Calculated density (g cm⁻³): 5.38

CIF file:
```
data_K2Tm2NpSe6
_chemical_formula_sum 'K4 Tm4 Np2 Se12'
_symmetry_space_group_name_H-M 'C 1 2/m 1'
_symmetry_Int_Tables_number 12
_cell_length_a 7.148
_cell_length_b 12.386
_cell_length_c 8.217
_cell_angle_alpha 90.00
_cell_angle_beta 107.02
_cell_angle_gamma 90.00
loop_
_symmetry_equiv_pos_as_xyz
'x,y,z'
'-x,-y,-z'
'-x,y,-z'
'x,-y,z'
'x+1/2,y+1/2,z'
'-x+1/2,-y+1/2,-z'
'-x+1/2,y+1/2,-z'
'x+1/2,-y+1/2,z'
loop_
_atom_site_label
_atom_site_type_symbol
_atom_site_fract_x
_atom_site_fract_y
_atom_site_fract_z
K1 K 0.000 0.168 0.000
Tm1 Tm 0.000 0.333 0.500
Np1 Np 0.000 0.000 0.500
Se1 Se 0.233 0.166 0.699
Se2 Se 0.235 0.500 0.699
```


Record 10
Compound: K3NpU2Se6
Source: Alexandria
Functional: PBE
Structure: optimized geometry

Properties
Volume (Å³/f.u.): 358.6
Raw formation energy (eV/f.u.): -14.9
Magnetic moment (μB/f.u.): 10.00
DOS(E_F) (states/eV/atom): 1.680
Calculated density (g cm⁻³): 6.04

CIF file:
```
data_K3NpU2Se6
_chemical_formula_sum 'K6 Np2 U4 Se12'
_symmetry_space_group_name_H-M 'C 1 2/m 1'
_symmetry_Int_Tables_number 12
_cell_length_a 7.318
_cell_length_b 12.675
_cell_length_c 8.108
_cell_angle_alpha 90.00
_cell_angle_beta 107.51
_cell_angle_gamma 90.00
loop_
_symmetry_equiv_pos_as_xyz
'x,y,z'
'-x,-y,-z'
'-x,y,-z'
'x,-y,z'
'x+1/2,y+1/2,z'
'-x+1/2,-y+1/2,-z'
'-x+1/2,y+1/2,-z'
'x+1/2,-y+1/2,z'
loop_
_atom_site_label
_atom_site_type_symbol
_atom_site_fract_x
_atom_site_fract_y
_atom_site_fract_z
K1 K 0.000 0.000 0.000
K2 K 0.000 0.334 0.000
Np1 Np 0.000 0.500 0.500
U1 U 0.000 0.167 0.500
Se1 Se 0.234 0.000 0.708
Se2 Se 0.237 0.332 0.708
```